In2PbCl6 after structural relaxation, computed with PBE.

Cell lengths 9.6228, 9.6228, 7.5057 Å; angles 99.16, 99.16, 89.11 degrees
Fractional positions:
1 In 0.0995 0.3238 0.1285
2 In 0.3238 0.0995 0.6285
3 In 0.6762 0.9005 0.3715
4 In 0.9005 0.6762 0.8715
5 Pb 0.4106 0.5894 0.7500
6 Pb 0.5894 0.4106 0.2500
7 Cl 0.1189 0.1748 0.3959
8 Cl 0.1408 0.5264 0.8872
9 Cl 0.1748 0.1189 0.8959
10 Cl 0.3199 0.4756 0.3626
11 Cl 0.4736 0.8592 0.6128
12 Cl 0.4756 0.3199 0.8626
13 Cl 0.5244 0.6802 0.1374
14 Cl 0.5264 0.1408 0.3872
15 Cl 0.6802 0.5244 0.6374
16 Cl 0.8252 0.8811 0.1041
17 Cl 0.8592 0.4736 0.1128
18 Cl 0.8811 0.8252 0.6041

Properties
**Crystal system**: monoclinic
**Formation energy from raw total energies**: -8.166 eV/f.u.
**Energy relative to the lowest polymorph listed for this composition**: 40 meV per atom
**Space-group type**: C2/c
**N(E_F)**: 0.156 states/eV/atom